A relaxed structure of K2DyVF6, computed with PBE with a Hubbard U.

Values from the calculation:
Raw total energy   -5.4977 eV/atom
M_tot   0.3966 μB per atom
Calculated density   3.49 g/cm3

Structure (POSCAR):
```
K2DyVF6
1.0
5.972 0.000 0.000
0.000 10.381 0.000
0.000 0.000 6.231
K Dy V F
4 2 2 12
Cartesian
1.493 0.146 1.471
1.493 5.045 1.471
4.479 5.336 4.760
4.479 10.236 4.760
1.493 7.786 5.028
4.479 2.595 1.203
1.493 2.595 4.312
4.479 7.786 1.919
0.027 2.595 5.860
0.083 2.595 2.708
1.493 5.617 5.109
1.493 9.955 5.109
2.903 2.595 2.708
2.959 2.595 5.860
3.013 7.786 0.371
3.069 7.786 3.523
4.479 0.427 1.122
4.479 4.764 1.122
5.889 7.786 3.523
5.945 7.786 0.371
```